Record 1
Computed, not measured: a relaxed structure of Er3Cu8Pd at the PBE-GGA level of DFT.

Geometry as POSCAR:
```
Er3Cu8Pd
1.0
4.8765 0.0000 1.4721
2.2161 4.3439 1.4721
-0.0299 -0.0183 8.9120
Cu Er Pd
8 3 1
Direct
0.9386 0.9386 0.6842
0.1877 0.1877 0.4368
0.9386 0.4386 0.6842
0.4338 0.4338 0.1884
0.4338 0.9440 0.1884
0.4386 0.9386 0.6842
0.6871 0.6871 0.9388
0.9440 0.4338 0.1884
0.5094 0.5094 0.4717
0.9886 0.9886 0.0344
0.3790 0.3790 0.8630
0.8708 0.8708 0.3875
```

Calculated values
- formation enthalpy at 0 K (eV per atom) = -0.281
- energy above the lowest structure with this stoichiometry (meV per atom) = 11.2
- total magnetization (μB per cell) = 0.0
- SG = R3m (160)



Record 2
Computed, not measured: a relaxed structure of TlCo2As2 at the PBE-GGA level of DFT.

Geometry as POSCAR:
```
TlCo2As2
1.0
3.9714 0.0000 0.0000
0.0000 3.9714 0.0000
1.9857 1.9857 5.5552
Co As Tl
2 2 1
Direct
0.3667 0.3667 0.2667
0.6333 0.6333 0.7333
0.2500 0.7500 0.5000
0.7500 0.2500 0.5000
0.0000 0.0000 0.0000
```

Calculated values
- formation enthalpy at 0 K (eV per atom) = 0.187
- energy above the lowest structure with this stoichiometry (meV per atom) = 0.0
- total magnetization (μB per cell) = 0.0
- SG = I4/mmm (139)



Record 3
Computed, not measured: a relaxed structure of Ce2CdSn at the PBE-GGA level of DFT.

Geometry as POSCAR:
```
Ce2CdSn
1.0
-2.2799 0.9299 -2.3974
2.9750 -2.9055 -3.9573
-3.8707 -3.5617 2.2985
Ce Sn Cd
2 1 1
Direct
0.0000 0.5000 0.5000
0.0000 0.0000 0.0000
0.5000 0.0000 0.5000
0.5000 0.5000 0.0000
```

Calculated values
- formation enthalpy at 0 K (eV per atom) = -0.393
- total magnetization (μB per cell) = 2.2
- SG = Cmmm (65)



Record 4
Computed, not measured: a relaxed structure of Ho2InCuS5 at the PBE-GGA level of DFT.

Geometry as POSCAR:
```
Ho2InCuS5
1.0
3.8088 0.0000 0.0000
-1.9044 8.0961 0.0000
0.0000 0.0000 11.4830
In S Cu Ho
2 10 2 4
Direct
0.1913 0.3825 0.9986
0.8087 0.6175 0.4986
0.0428 0.0855 0.0700
0.5047 0.0094 0.7878
0.7111 0.4222 0.1639
0.2990 0.5980 0.3386
0.4953 0.9906 0.2878
0.2889 0.5778 0.6639
0.9572 0.9145 0.5700
0.6462 0.2925 0.4991
0.3538 0.7075 0.9991
0.7010 0.4020 0.8386
0.4998 0.9997 0.4844
0.5002 0.0003 0.9844
0.8795 0.7590 0.7978
0.1205 0.2410 0.2978
0.8880 0.7760 0.1838
0.1120 0.2240 0.6838
```

Calculated values
- energy relative to the elements, uncorrected (meV/atom) = -1269
- total magnetization (μB per cell) = 0.0
- SG = Cmc2_1 (36)



Record 5
Computed, not measured: a relaxed structure of KRb2Li at the PBE-GGA level of DFT.

Geometry as POSCAR:
```
KRb2Li
1.0
-3.4412 -3.1318 1.0692
1.1203 -2.5539 -3.8751
7.6807 -6.2705 6.3532
Li Rb K
1 2 1
Direct
0.5000 0.5000 0.0000
0.0000 0.0000 0.2007
0.0000 0.0000 0.7993
0.5000 0.5000 0.5000
```

Calculated values
- formation enthalpy at 0 K (eV per atom) = 0.114
- energy above the lowest structure with this stoichiometry (meV per atom) = 0.0
- total magnetization (μB per cell) = 0.0
- SG = P4/mmm (123)



Record 6
Computed, not measured: a relaxed structure of TaCr3Re at the PBE-GGA level of DFT.

Geometry as POSCAR:
```
TaCr3Re
1.0
4.4875 0.0000 0.0000
0.0000 4.4875 0.0000
0.0000 0.0000 4.4875
Re Cr Ta
1 3 1
Direct
0.0000 0.0000 0.0000
0.0000 0.0000 0.5000
0.5000 0.0000 0.0000
0.0000 0.5000 0.0000
0.5000 0.5000 0.5000
```

Calculated values
- formation enthalpy at 0 K (eV per atom) = 1.539
- energy above the lowest structure with this stoichiometry (meV per atom) = 0.0
- total magnetization (μB per cell) = 4.2
- SG = Pm-3m (221)



Record 7
Computed, not measured: a relaxed structure of DyB3Ir6 at the PBE-GGA level of DFT.

Geometry as POSCAR:
```
DyB3Ir6
1.0
-0.1075 0.5678 -5.4455
2.3436 -4.4096 2.2473
-5.3136 -1.4440 2.7077
Ir Dy B
6 1 3
Direct
0.5959 0.5131 0.2440
0.2923 0.8947 0.6866
0.2891 0.3944 0.6866
0.1612 0.6481 0.2440
0.7919 0.3975 0.6866
0.7309 0.0828 0.2440
0.9184 0.9592 0.8775
0.2530 0.1265 0.3795
0.3169 0.6585 0.9754
0.6505 0.3252 0.9757
```

Calculated values
- formation enthalpy at 0 K (eV per atom) = -0.329
- total magnetization (μB per cell) = 0.0
- SG = R3 (146)



Record 8
Computed, not measured: a relaxed structure of Tb2PtSe at the PBE-GGA level of DFT.

Geometry as POSCAR:
```
Tb2PtSe
1.0
-1.3454 3.8193 -0.2804
-3.9845 0.7356 -0.2416
-2.1352 1.9149 6.9481
Se Tb Pt
1 2 1
Direct
0.4993 0.4993 0.5021
0.2593 0.2593 0.2221
0.0745 0.0745 0.7764
0.6669 0.6669 0.9994
```

Calculated values
- energy relative to the elements, uncorrected (meV/atom) = -1447
- energy above the lowest structure with this stoichiometry (meV per atom) = 69.2
- total magnetization (μB per cell) = 0.0
- SG = R3m (160)



Record 9
Computed, not measured: a relaxed structure of LiCu3P at the PBE-GGA level of DFT.

Geometry as POSCAR:
```
LiCu3P
1.0
-1.7066 -2.8997 -3.6310
1.4999 -6.1403 4.1986
-3.6082 4.7051 1.3128
P Li Cu
2 2 6
Direct
0.5000 0.0000 0.0000
0.0000 0.5000 0.0000
0.2500 0.2628 0.5000
0.7500 0.7372 0.5000
0.2584 0.2584 0.0167
0.7500 0.0984 0.5000
0.7416 0.7416 0.9833
0.7584 0.2584 0.0167
0.2500 0.9016 0.5000
0.2416 0.7416 0.9833
```

Calculated values
- formation enthalpy at 0 K (eV per atom) = -0.044
- energy above the lowest structure with this stoichiometry (meV per atom) = 0.0
- total magnetization (μB per cell) = 0.0
- SG = Imma (74)



Record 10
Computed, not measured: a relaxed structure of LaCeIn4 at the PBE-GGA level of DFT.

Geometry as POSCAR:
```
LaCeIn4
1.0
6.1319 0.0000 0.0000
3.0659 5.3104 0.0000
3.0659 1.7701 5.0067
Ce In La
1 4 1
Direct
0.0000 0.0000 0.0000
0.6252 0.1245 0.6252
0.6252 0.6252 0.6252
0.1245 0.6252 0.6252
0.6252 0.6252 0.1245
0.2500 0.2500 0.2500
```

Calculated values
- formation enthalpy at 0 K (eV per atom) = -0.396
- energy above the lowest structure with this stoichiometry (meV per atom) = 27.1
- total magnetization (μB per cell) = 1.3
- SG = F-43m (216)



Record 11
Computed, not measured: a relaxed structure of Tc2CCl at the PBE-GGA level of DFT.

Geometry as POSCAR:
```
Tc2CCl
1.0
0.0000 2.8648 2.8648
2.8648 0.0000 2.8648
2.8648 2.8648 0.0000
Tc C Cl
2 1 1
Direct
0.7500 0.7500 0.7500
0.2500 0.2500 0.2500
0.0000 0.0000 0.0000
0.5000 0.5000 0.5000
```

Calculated values
- energy relative to the elements, uncorrected (meV/atom) = 1213
- energy above the lowest structure with this stoichiometry (meV per atom) = 526.7
- total magnetization (μB per cell) = 0.0
- SG = Fm-3m (225)



Record 12
Computed, not measured: a relaxed structure of PrGdMnGa at the PBE-GGA level of DFT.

Geometry as POSCAR:
```
PrGdMnGa
1.0
5.1802 0.0000 0.0000
2.5901 4.4861 0.0000
2.5901 1.4954 4.2296
Pr Ga Mn Gd
1 1 1 1
Direct
0.2500 0.2500 0.2500
0.5000 0.5000 0.5000
0.0000 0.0000 0.0000
0.7500 0.7500 0.7500
```

Calculated values
- formation enthalpy at 0 K (eV per atom) = -0.084
- total magnetization (μB per cell) = 10.5
- SG = F-43m (216)